a) The following is a DFT calculation (GGA-PBE) of crystalline Nd5Ho12Tm2 at its relaxed geometry.

Cell lengths 17.777, 9.023, 8.662 Å; angles 90.00, 115.42, 90.00 degrees
Space group C2/m (No. 12)
One atom of each set of equivalent atoms:
1 Nd 0.000 0.000 0.000
2 Nd 0.210 0.500 0.723
3 Nd 0.236 0.000 0.790
4 Ho 0.045 0.000 0.681
5 Ho 0.058 0.500 0.214
6 Ho 0.127 0.277 0.955
7 Ho 0.145 0.186 0.404
8 Tm 0.000 0.327 0.500

Calculated values
Volume in A^3/atom: 33.0
Total moment in μB/f.u.: 0.0
D(E_F) in states/eV/cell: 57.6

=====

b) The following is a DFT calculation (GGA-PBE) of crystalline Nd5Ho12Tm2 at its relaxed geometry.

Cell lengths 6.013, 9.779, 11.236 Å; angles 69.99, 82.84, 88.70 degrees
Space group P-1 (No. 2)
One atom of each set of equivalent atoms:
1 Nd 0.000 0.000 0.000
2 Nd 0.099 0.965 0.346
3 Nd 0.494 0.457 0.167
4 Ho 0.040 0.681 0.660
5 Ho 0.065 0.318 0.036
6 Ho 0.165 0.316 0.723
7 Ho 0.387 0.902 0.789
8 Ho 0.430 0.183 0.486
9 Ho 0.431 0.823 0.109
10 Tm 0.283 0.565 0.422

Calculated values
Volume in A^3/atom: 32.4
Total moment in μB/f.u.: 0.0
D(E_F) in states/eV/cell: 29.6

=====

Most stable: b)

=====

a) The following is a DFT calculation (GGA-PBE) of crystalline NdHo6Tm at its relaxed geometry.

Cell lengths 6.524, 6.692, 6.916 Å; angles 118.20, 104.46, 90.19 degrees
Space group P-1 (No. 2)
One atom of each set of equivalent atoms:
1 Nd 0.000 0.000 0.000
2 Ho 0.232 0.577 0.483
3 Ho 0.253 0.546 0.002
4 Ho 0.273 0.096 0.529
5 Tm 0.500 0.000 0.000

Calculated values
Volume in A^3/atom: 31.9
Total moment in μB/f.u.: 0.0
D(E_F) in states/eV/cell: 13.4

=====

b) The following is a DFT calculation (GGA-PBE) of crystalline NdHo6Tm at its relaxed geometry.

Cell lengths 6.513, 11.772, 6.638 Å; angles 90.00, 90.08, 90.00 degrees
Space group C2/m (No. 12)
One atom of each set of equivalent atoms:
1 Nd 0.000 0.000 0.000
2 Ho 0.003 0.500 0.252
3 Ho 0.184 0.237 0.252
4 Tm 0.000 0.000 0.500

Calculated values
Volume in A^3/atom: 31.8
Total moment in μB/f.u.: 0.0
D(E_F) in states/eV/cell: 25.7

=====

Most stable: a)

=====

a) The following is a DFT calculation (GGA-PBE) of crystalline Nd2Ho3Tm3 at its relaxed geometry.

Cell lengths 9.0047, 9.0047, 11.0363 Å; angles 90.00, 90.00, 120.00 degrees
Space group R32 (No. 155, hexagonal axes)
One atom of each set of equivalent atoms:
1 Nd 0.0000 0.0000 0.2493
2 Ho 0.0000 0.7485 0.5000
3 Tm 0.0000 0.2481 0.0000

Calculated values
Volume in A^3/atom: 32.3
Total moment in μB/f.u.: 0.0
D(E_F) in states/eV/cell: 56.2

=====

b) The following is a DFT calculation (GGA-PBE) of crystalline Nd2Ho3Tm3 at its relaxed geometry.

Cell lengths 5.030, 5.032, 20.007 Å; angles 90.00, 90.00, 90.00 degrees
Space group Immm (No. 71)
One atom of each set of equivalent atoms:
1 Nd 0.000 0.000 0.250
2 Ho 0.000 0.000 0.000
3 Ho 0.000 0.500 0.122
4 Tm 0.000 0.000 0.500
5 Tm 0.000 0.500 0.377

Calculated values
Volume in A^3/atom: 31.7
Total moment in μB/f.u.: 0.0
D(E_F) in states/eV/cell: 23.5

=====

Most stable: b)